Below is a relaxed structure of SrZnTeW2, with properties calculated at the PBEsol level.

```
data_SrZnTeW2
_chemical_formula_sum 'Sr1 Zn1 Te1 W2'
_symmetry_space_group_name_H-M 'P 4/m m m'
_symmetry_Int_Tables_number 123
_symmetry_space_group_name_Hall '-P 4 2'
_cell_length_a 4.918
_cell_length_b 4.918
_cell_length_c 5.811
_cell_angle_alpha 90.00
_cell_angle_beta 90.00
_cell_angle_gamma 90.00
loop_
_atom_site_label
_atom_site_type_symbol
_atom_site_fract_x
_atom_site_fract_y
_atom_site_fract_z
Sr1 Sr 0.000 0.000 0.000
Zn1 Zn 0.500 0.500 0.000
Te1 Te 0.000 0.000 0.500
W1 W 0.000 0.500 0.500
```

---

Below is a relaxed structure of SrY2Te, with properties calculated at the PBEsol level.

```
data_SrY2Te
_chemical_formula_sum 'Sr2 Y4 Te2'
_symmetry_space_group_name_H-M 'C 1 2/m 1'
_symmetry_Int_Tables_number 12
_symmetry_space_group_name_Hall '-C 2y'
_cell_length_a 6.839
_cell_length_b 11.548
_cell_length_c 3.757
_cell_angle_alpha 90.00
_cell_angle_beta 122.10
_cell_angle_gamma 90.00
loop_
_atom_site_label
_atom_site_type_symbol
_atom_site_fract_x
_atom_site_fract_y
_atom_site_fract_z
Sr1 Sr 0.000 0.000 0.000
Y1 Y 0.250 0.250 0.500
Te1 Te 0.000 0.500 0.000
```

---

Below is a relaxed structure of SrY2Te, with properties calculated at the PBEsol level.

```
data_SrY2Te
_chemical_formula_sum 'Sr2 Y4 Te2'
_symmetry_space_group_name_H-M 'I 4/m m m'
_symmetry_Int_Tables_number 139
_symmetry_space_group_name_Hall '-I 4 2'
_cell_length_a 4.704
_cell_length_b 4.704
_cell_length_c 10.965
_cell_angle_alpha 90.00
_cell_angle_beta 90.00
_cell_angle_gamma 90.00
loop_
_atom_site_label
_atom_site_type_symbol
_atom_site_fract_x
_atom_site_fract_y
_atom_site_fract_z
Sr1 Sr 0.000 0.000 0.000
Y1 Y 0.000 0.500 0.250
Te1 Te 0.000 0.000 0.500
```

---

Below is a relaxed structure of SrZnTe, with properties calculated at the PBEsol level.

```
data_SrZnTe
_chemical_formula_sum 'Sr2 Zn2 Te2'
_symmetry_space_group_name_H-M 'I 4 m m'
_symmetry_Int_Tables_number 107
_symmetry_space_group_name_Hall 'I 4 -2'
_cell_length_a 3.980
_cell_length_b 3.980
_cell_length_c 10.549
_cell_angle_alpha 90.00
_cell_angle_beta 90.00
_cell_angle_gamma 90.00
loop_
_atom_site_label
_atom_site_type_symbol
_atom_site_fract_x
_atom_site_fract_y
_atom_site_fract_z
Sr1 Sr 0.000 0.000 0.000
Zn1 Zn 0.000 0.000 0.683
Te1 Te 0.000 0.000 0.317
```

---

Below is a relaxed structure of SrZnTe2, with properties calculated at the PBEsol level.

```
data_SrZnTe2
_chemical_formula_sum 'Sr2 Zn2 Te4'
_symmetry_space_group_name_H-M 'C 1 m 1'
_symmetry_Int_Tables_number 8
_symmetry_space_group_name_Hall 'C -2y'
_cell_length_a 12.876
_cell_length_b 4.281
_cell_length_c 4.783
_cell_angle_alpha 90.00
_cell_angle_beta 92.39
_cell_angle_gamma 90.00
loop_
_atom_site_label
_atom_site_type_symbol
_atom_site_fract_x
_atom_site_fract_y
_atom_site_fract_z
Sr1 Sr 0.000 0.000 0.000
Zn1 Zn 0.224 0.500 0.771
Te1 Te 0.050 0.500 0.504
Te2 Te 0.288 0.000 0.032
```

---

Below is a relaxed structure of SrZnTe2, with properties calculated at the PBEsol level.

```
data_SrZnTe2
_chemical_formula_sum 'Sr3 Zn3 Te6'
_symmetry_space_group_name_H-M 'R -3 m'
_symmetry_Int_Tables_number 166
_symmetry_space_group_name_Hall '-R 3 2"'
_cell_length_a 5.0751
_cell_length_b 5.0751
_cell_length_c 23.8046
_cell_angle_alpha 90.00
_cell_angle_beta 90.00
_cell_angle_gamma 120.00
loop_
_atom_site_label
_atom_site_type_symbol
_atom_site_fract_x
_atom_site_fract_y
_atom_site_fract_z
Sr1 Sr 0.0000 0.0000 0.0000
Zn1 Zn 0.0000 0.0000 0.5000
Te1 Te 0.0000 0.0000 0.3980
```

---

Let's list E_tot in order: -5.024; -5.088; -5.125; -2.964; -3.513; -3.383 eV per atom.
Let's list magnetization in order: 0.001; 0.000; 0.000; 0.000; 0.000; 0.000 μB per formula unit.